Record 1
Compound: Cu2AgAu
Source: the Alexandria database
Functional: meta-GGA SCAN
Structure: single point on PBEsol structure

Unit cell a=2.7299 b=4.1752 c=5.1236 alpha=90.00 beta=104.11 gamma=90.00
Closest atoms and distances in Å follow each position.
Space group Pm (No. 6)
Asymmetric unit:
Cu 0.0000 0.0000 0.0000 (multiplicity 1)  4 Cu 2.47-2.73, 3 Ag 2.64-2.71, 4 Au 2.68-2.70
Cu 0.1172 0.5000 0.2666 (multiplicity 1)  4 Cu 2.47-2.73, 3 Au 2.64-2.71, 4 Ag 2.68-2.70
Ag 0.7167 0.0000 0.4698 (multiplicity 1)  7 Cu 2.64-2.71, 2 Ag 2.73, 2 Au 2.94
Au 0.3988 0.5000 0.7966 (multiplicity 1)  7 Cu 2.64-2.71, 2 Au 2.73, 2 Ag 2.94

Properties
Fermi-level density of states   1.125 states/eV per cell
Size of the total moment   0.0 μB/f.u.
Calculated volume   57 Å³/cell
ΔE to the lowest computed polymorph   32.5 meV/atom

***

Record 2
Compound: Cu2AgAu
Source: the Alexandria database
Functional: meta-GGA SCAN
Structure: single point on PBEsol structure

Unit cell a=3.7909 b=3.7909 c=7.8776 alpha=90.00 beta=90.00 gamma=90.00
Closest atoms and distances in Å follow each position.
Space group I-4m2 (No. 119)
Asymmetric unit:
Cu 0.0000 0.0000 0.0000 (multiplicity 2)  4 Ag 2.68, 4 Cu 2.73, 4 Au 2.73
Cu 0.0000 0.5000 0.2500 (multiplicity 2)  4 Au 2.68, 4 Cu 2.73, 4 Ag 2.73
Ag 0.0000 0.0000 0.5000 (multiplicity 2)  8 Cu 2.68-2.73, 4 Au 2.73
Au 0.0000 0.5000 0.7500 (multiplicity 2)  8 Cu 2.68-2.73, 4 Ag 2.73

Properties
Fermi-level density of states   2.148 states/eV per cell
Size of the total moment   0.0 μB/f.u.
Calculated volume   113 Å³/cell
ΔE to the lowest computed polymorph   16.1 meV/atom